[1]
Computed, not measured: a relaxed structure of NpSc3B4O12 at the PBE-GGA level of DFT.

Computed properties:
E_tot   -8.8146 eV per atom
Raw formation energy   -2.907 eV/atom
DOS(E_F)   8.5 states/eV/f.u.
Total moment   4.00 μB/cell
Crystal system   trigonal

a b c (Å): 6.3033 6.3033 6.3033
angles (deg): 103.37 103.37 103.37
Atoms (fractional coordinates):
Np: 0.0000 0.0000 0.0000
Sc: 0.0000 0.5473 0.4527
Sc: 0.4527 0.0000 0.5473
Sc: 0.5473 0.4527 0.0000
B: 0.0488 0.5000 0.9512
B: 0.5000 0.5000 0.5000
B: 0.5000 0.9512 0.0488
B: 0.9512 0.0488 0.5000
O: 0.0313 0.6288 0.8012
O: 0.0913 0.9087 0.5000
O: 0.1988 0.3712 0.9687
O: 0.3597 0.6403 0.5000
O: 0.3712 0.9687 0.1988
O: 0.5000 0.0913 0.9087
O: 0.5000 0.3597 0.6403
O: 0.6288 0.8012 0.0313
O: 0.6403 0.5000 0.3597
O: 0.8012 0.0313 0.6288
O: 0.9087 0.5000 0.0913
O: 0.9687 0.1988 0.3712


[2]
Computed, not measured: a relaxed structure of SmNpB2O8 at the PBE-GGA level of DFT.

Computed properties:
E_tot   -8.3453 eV per atom
Raw formation energy   -2.455 eV/atom
DOS(E_F)   6.6 states/eV/f.u.
Total moment   1.06 μB/cell
Crystal system   trigonal

a b c (Å): 5.0295 5.0295 6.8155
angles (deg): 90.00 90.00 120.00
Atoms (fractional coordinates):
Sm: 0.0000 0.0000 0.0000
Np: 0.0000 0.0000 0.5000
B: 0.3333 0.6667 0.2178
B: 0.6667 0.3333 0.7822
O: 0.1742 0.3484 0.2990
O: 0.1742 0.8258 0.2990
O: 0.3333 0.6667 0.0117
O: 0.3484 0.1742 0.7010
O: 0.6516 0.8258 0.2990
O: 0.6667 0.3333 0.9883
O: 0.8258 0.1742 0.7010
O: 0.8258 0.6516 0.7010


- Which of these has the lowest E_tot?
  NpSc3B4O12